1.
VASP calculation (GGA-PBEsol) on a relaxed BaSc2Ru crystal.

Summary:
D(E_F)   4.90 states/eV per cell
ΔH_f (0 K)   0.0648 eV per atom

a = 3.4596 Å, b = 3.8382 Å, c = 7.9420 Å
α = 90.00°, β = 90.00°, γ = 90.00°
Element x y z (fractional)
Ba 0.0000 0.0000 0.0000
Sc 0.0000 0.0000 0.4071
Sc 0.5000 0.5000 0.6337
Ru 0.5000 0.5000 0.3229



2.
VASP calculation (GGA-PBEsol) on a relaxed Li2Ti2AsPO10 crystal.

Summary:
D(E_F)   0.00 states/eV per cell
Raw total energy   -7.628 eV per atom

a = 6.4970 Å, b = 7.3661 Å, c = 7.4215 Å
α = 90.00°, β = 90.00°, γ = 90.00°
Element x y z (fractional)
Li 0.2379 0.2393 0.0000
Li 0.2379 0.7607 0.5000
Li 0.7621 0.2393 0.0000
Li 0.7621 0.7607 0.5000
Ti 0.0000 0.4735 0.3375
Ti 0.0000 0.5265 0.8375
Ti 0.5000 0.0280 0.6630
Ti 0.5000 0.9720 0.1630
As 0.5000 0.3836 0.3745
As 0.5000 0.6164 0.8745
P 0.0000 0.1250 0.6281
P 0.0000 0.8750 0.1281
O 0.0000 0.2435 0.4561
O 0.0000 0.2465 0.7987
O 0.0000 0.4005 0.1167
O 0.0000 0.5995 0.6167
O 0.0000 0.7535 0.2987
O 0.0000 0.7565 0.9561
O 0.1927 0.0022 0.6276
O 0.1927 0.9978 0.1276
O 0.2933 0.4767 0.8740
O 0.2933 0.5233 0.3740
O 0.5000 0.0750 0.8924
O 0.5000 0.2484 0.1867
O 0.5000 0.2677 0.5728
O 0.5000 0.7323 0.0728
O 0.5000 0.7516 0.6867
O 0.5000 0.9250 0.3924
O 0.7067 0.4767 0.8740
O 0.7067 0.5233 0.3740
O 0.8073 0.0022 0.6276
O 0.8073 0.9978 0.1276



3.
VASP calculation (GGA-PBEsol) on a relaxed CoPbCl2 crystal.

Summary:
D(E_F)   5.45 states/eV per cell
Raw total energy   -3.783 eV per atom

a = 3.3510 Å, b = 4.4066 Å, c = 5.5825 Å
α = 90.00°, β = 90.00°, γ = 90.00°
Element x y z (fractional)
Co 0.0000 0.0000 0.0000
Pb 0.5000 0.0000 0.5000
Cl 0.0000 0.5000 0.5000
Cl 0.5000 0.5000 0.0000